Density functional theory data (SCAN) for a crystal of ZrBeRh relaxed with PBEsol.

```
ZrBeRh
1.0
-0.405 1.885 3.715
1.897 -1.593 3.374
3.263 1.993 1.702
Rh Zr Be
1 1 1
direct
0.250 0.250 0.250
0.000 0.000 0.000
0.500 0.500 0.500
```

Values from the calculation:
calculated formation energy: -0.307 eV/atom
E_tot: -23.25 eV/atom
volume: 51.8 Å³/cell
DOS(E_F): 2.35 states/eV per cell
space-group type: No. 216
total moment: 0.00 μB per formula unit